Ca2ErGe3Au12 PBE-GGA optimized geometry; uncorrected energy = -3.5858 eV per atom; symmetry = R-3m (166); ρ = 10.922 g/cm3; calculated volume = 430 Å³ per cell
1.0
4.597 2.654 5.874
-4.597 2.654 5.874
0.000 -5.309 5.874
Ca Er Ge Au
2 1 3 12
Direct
0.097 0.097 0.097
0.903 0.903 0.903
0.500 0.500 0.500
0.000 0.500 0.500
0.500 0.000 0.500
0.500 0.500 0.000
0.121 0.658 0.658
0.193 0.193 0.667
0.193 0.667 0.193
0.333 0.807 0.807
0.342 0.342 0.879
0.342 0.879 0.342
0.658 0.121 0.658
0.658 0.658 0.121
0.667 0.193 0.193
0.807 0.333 0.807
0.807 0.807 0.333
0.879 0.342 0.342

Bi2H6Ru PBE-GGA optimized geometry; uncorrected energy = -3.9576 eV per atom; symmetry = C2/m (12); ρ = 7.339 g/cm3; calculated volume = 119 Å³ per cell
1.0
4.865 -2.217 0.000
4.865 2.217 0.000
-0.851 0.000 5.509
Bi H Ru
2 6 1
Direct
0.105 0.105 0.307
0.895 0.895 0.693
0.218 0.624 0.199
0.330 0.330 0.872
0.376 0.782 0.801
0.624 0.218 0.199
0.670 0.670 0.128
0.782 0.376 0.801
0.500 0.500 0.000

Sr2ZnSb4Ir3 PBE-GGA optimized geometry; symmetry = P-4m2 (115); ρ = 9.336 g/cm3; E_form (uncorrected) = -4.7 eV per formula unit; calculated volume = 232 Å³ per cell
1.0
4.658 0.000 0.000
0.000 4.658 0.000
0.000 0.000 10.694
Sr Zn Sb Ir
2 1 4 3
Direct
0.000 0.500 0.246
0.500 0.000 0.754
0.500 0.500 0.000
0.000 0.000 0.500
0.000 0.500 0.866
0.500 0.000 0.134
0.500 0.500 0.500
0.000 0.000 0.000
0.000 0.500 0.618
0.500 0.000 0.382

Co5W PBE-GGA optimized geometry; symmetry = P-62m (189); ρ = 11.631 g/cm3; offset from the most stable computed form = 0.0 meV/atom; calculated volume = 68 Å³ per cell
1.0
4.416 0.000 0.000
-2.208 3.824 0.000
0.000 0.000 4.046
Co W
5 1
Direct
0.000 0.649 0.000
0.333 0.667 0.500
0.351 0.351 0.000
0.649 0.000 0.000
0.667 0.333 0.500
0.000 0.000 0.500

Ta2CdOs PBE-GGA optimized geometry; uncorrected energy = -8.7075 eV per atom; symmetry = R3m (160); ρ = 15.082 g/cm3; calculated volume = 73 Å³ per cell
1.0
1.512 0.873 9.244
-1.512 0.873 9.244
0.000 -1.745 9.244
Ta Cd Os
2 1 1
Direct
0.000 0.000 0.000
0.250 0.250 0.250
0.758 0.758 0.758
0.512 0.512 0.512

CeTmSe2N PBE-GGA optimized geometry; symmetry = P4/nmm (129); ρ = 6.965 g/cm3; E_form (uncorrected) = -8.5 eV per formula unit; calculated volume = 229 Å³ per cell
1.0
3.985 0.000 0.000
0.000 3.985 0.000
0.000 0.000 14.444
Ce Tm Se N
2 2 4 2
Direct
0.250 0.250 0.079
0.750 0.750 0.921
0.250 0.250 0.624
0.750 0.750 0.376
0.250 0.250 0.412
0.250 0.250 0.804
0.750 0.750 0.196
0.750 0.750 0.588
0.250 0.750 0.000
0.750 0.250 0.000

InCoAu2 PBE-GGA optimized geometry; uncorrected energy = -3.9701 eV per atom; symmetry = Cm (8); ρ = 13.643 g/cm3; calculated volume = 69 Å³ per cell
1.0
4.708 -1.573 0.000
4.708 1.573 0.000
-1.307 0.000 4.666
In Co Au
1 1 2
Direct
0.000 0.000 0.000
0.263 0.263 0.744
0.524 0.524 0.529
0.759 0.759 0.253

LiPm3C2N6 PBE-GGA optimized geometry; symmetry = P-3m1 (164); ρ = 5.995 g/cm3; E_form (uncorrected) = -9.7 eV per formula unit; calculated volume = 152 Å³ per cell
1.0
5.386 0.000 0.000
-2.693 4.664 0.000
0.000 0.000 6.064
Li Pm C N
1 3 2 6
Direct
0.000 0.000 0.000
0.000 0.000 0.500
0.333 0.667 0.162
0.667 0.333 0.838
0.333 0.667 0.753
0.667 0.333 0.247
0.188 0.375 0.773
0.188 0.812 0.773
0.375 0.188 0.227
0.625 0.812 0.773
0.812 0.188 0.227
0.812 0.625 0.227

Pm2Si3Pd5 PBE-GGA optimized geometry; symmetry = Ibam (72); ρ = 8.188 g/cm3; E_form (uncorrected) = -8.5 eV per formula unit; offset from the most stable computed form = 0.0 meV/atom; calculated volume = 368 Å³ per cell
1.0
-4.876 6.364 2.962
4.876 -6.364 2.962
4.876 6.364 -2.962
Pm Si Pd
4 6 10
Direct
0.127 0.240 0.367
0.373 0.740 0.113
0.627 0.260 0.887
0.873 0.760 0.633
0.115 0.638 0.753
0.250 0.250 0.000
0.385 0.138 0.523
0.615 0.862 0.477
0.750 0.750 0.000
0.885 0.362 0.247
0.028 0.750 0.278
0.120 0.882 0.002
0.250 0.750 0.500
0.380 0.382 0.762
0.472 0.750 0.722
0.528 0.250 0.278
0.620 0.618 0.238
0.750 0.250 0.500
0.880 0.118 0.998
0.972 0.250 0.722

SmTh2Tc9 PBE-GGA optimized geometry; uncorrected energy = -9.4110 eV per atom; symmetry = P-1 (2); ρ = 10.984 g/cm3; calculated volume = 226 Å³ per cell
1.0
5.359 0.000 0.000
2.673 4.815 0.000
0.011 2.443 8.766
Sm Th Tc
1 2 9
Direct
0.000 0.000 0.000
0.144 0.712 0.426
0.856 0.288 0.574
0.059 0.338 0.237
0.356 0.290 0.012
0.397 0.662 0.763
0.421 0.159 0.744
0.500 0.000 0.500
0.579 0.841 0.256
0.603 0.338 0.237
0.644 0.710 0.988
0.941 0.662 0.763

Cr2Ni5H2 PBE-GGA optimized geometry; uncorrected energy = -6.0769 eV per atom; symmetry = C2/m (12); ρ = 8.123 g/cm3; calculated volume = 82 Å³ per cell
1.0
4.018 -1.818 0.000
4.018 1.818 0.000
-0.725 0.000 5.589
Cr Ni H
2 5 2
Direct
0.064 0.064 0.186
0.936 0.936 0.814
0.212 0.212 0.649
0.356 0.356 0.070
0.500 0.500 0.500
0.644 0.644 0.930
0.788 0.788 0.351
0.294 0.294 0.369
0.706 0.706 0.631

ZrAl2Mo PBE-GGA optimized geometry; symmetry = Pm (6); ρ = 5.819 g/cm3; offset from the most stable computed form = 30.3 meV/atom; calculated volume = 69 Å³ per cell
1.0
2.970 0.000 0.000
0.000 4.533 0.000
-0.609 0.000 5.111
Zr Al Mo
1 2 1
Direct
0.000 0.000 0.000
0.561 0.000 0.504
0.564 0.500 0.208
0.176 0.500 0.689

Si6Ni3Au PBE-GGA optimized geometry; symmetry = R-3m (166); ρ = 6.411 g/cm3; E_form (uncorrected) = -3.3 eV per formula unit; calculated volume = 140 Å³ per cell
1.0
1.888 1.090 11.360
-1.888 1.090 11.360
0.000 -2.180 11.360
Si Ni Au
6 3 1
Direct
0.069 0.069 0.069
0.214 0.214 0.214
0.358 0.358 0.358
0.642 0.642 0.642
0.786 0.786 0.786
0.931 0.931 0.931
0.000 0.000 0.000
0.425 0.425 0.425
0.575 0.575 0.575
0.500 0.500 0.500

Dy2ScSe4 PBE-GGA optimized geometry; symmetry = Imma (74); ρ = 6.388 g/cm3; E_form (uncorrected) = -12.7 eV per formula unit; offset from the most stable computed form = 0.0 meV/atom; calculated volume = 357 Å³ per cell
1.0
-4.000 4.014 5.552
4.000 -4.014 5.552
4.000 4.014 -5.552
Dy Sc Se
4 2 8
Direct
0.000 0.000 0.000
0.500 0.000 0.000
0.500 0.000 0.500
0.500 0.500 0.500
0.000 0.000 0.500
0.000 0.500 0.000
0.232 0.741 0.491
0.245 0.248 0.503
0.245 0.741 0.997
0.250 0.259 0.991
0.750 0.741 0.009
0.755 0.259 0.003
0.755 0.752 0.497
0.768 0.259 0.509